Record 1
The following is a DFT calculation (PBE) of a geometry-optimized SiNi2OsI structure.

Values from the calculation:
Relative energy among the computed polymorphs, meV/atom: 0
Space-group type: P4/mmm, No. 123
DOS at the Fermi energy, states/eV/atom: 1.299
V, A^3/atom: 20.6
Formation energy from raw total energies, meV/atom: 1023.3
Density, g/cm3: 7.47

Lattice parameters (Å, degrees): 4.7403 4.7403 4.5783 90.00 90.00 90.00
With the nearest neighbours (Å) after each atom.
Positions (direct):
1 Si 0.0000 0.0000 0.0000  2 Os 2.29
2 Ni 0.0000 0.5000 0.5000  2 Os 2.37
3 Ni 0.5000 0.0000 0.5000  2 Os 2.37
4 Os 0.0000 0.0000 0.5000  2 Si 2.29, 4 Ni 2.37
5 I 0.5000 0.5000 0.0000  8 Ni 3.30, 4 Si 3.35

---

Record 2
The following is a DFT calculation (PBE) of a geometry-optimized CsPO2F structure.

Values from the calculation:
Space-group type: P4/mmm, No. 123
DOS at the Fermi energy, states/eV/atom: 0.207
V, A^3/atom: 14.7
Formation energy from raw total energies, meV/atom: -1278.9
Density, g/cm3: 4.86

Lattice parameters (Å, degrees): 3.7105 3.7105 5.3347 90.00 90.00 90.00
With the nearest neighbours (Å) after each atom.
Positions (direct):
1 Cs 0.0000 0.0000 0.0000  4 F 2.62
2 P 0.5000 0.5000 0.5000  4 O 1.86
3 O 0.0000 0.5000 0.5000  2 P 1.86
4 O 0.5000 0.0000 0.5000  2 P 1.86
5 F 0.5000 0.5000 0.0000  4 Cs 2.62, 2 P 2.67

---

Record 3
The following is a DFT calculation (PBE) of a geometry-optimized NbSbF3 structure.

Values from the calculation:
Relative energy among the computed polymorphs, meV/atom: 770
Space-group type: Pm-3m, No. 221
DOS at the Fermi energy, states/eV/atom: 0.754
V, A^3/atom: 19.1
Formation energy from raw total energies, meV/atom: -605.0
Density, g/cm3: 4.71

Lattice parameters (Å, degrees): 4.5741 4.5741 4.5741 90.00 90.00 90.00
With the nearest neighbours (Å) after each atom.
Positions (direct):
1 Nb 0.0000 0.0000 0.0000  12 F 3.23
2 Sb 0.5000 0.5000 0.5000  6 F 2.29
3 F 0.0000 0.5000 0.5000  2 Sb 2.29
4 F 0.5000 0.0000 0.5000  2 Sb 2.29
5 F 0.5000 0.5000 0.0000  2 Sb 2.29

---

Record 4
The following is a DFT calculation (PBE) of a geometry-optimized Pr2DyTh4 structure.

Values from the calculation:
Space-group type: Cmmm, No. 65
DOS at the Fermi energy, states/eV/atom: 1.567
V, A^3/atom: 33.7
ΔH_f (0 K), meV/atom: 72
Density, g/cm3: 9.66

Lattice parameters (Å, degrees): 3.5899 36.5741 3.5954 90.00 90.00 90.00
With the nearest neighbours (Å) after each atom.
Positions (direct):
1 Pr 0.0000 0.2051 0.0000  4 Th 3.58, 6 Pr 3.59-3.74
2 Pr 0.0000 0.7949 0.0000  4 Th 3.58, 6 Pr 3.59-3.74
3 Pr 0.5000 0.2949 0.0000  4 Th 3.58, 6 Pr 3.59-3.74
4 Pr 0.5000 0.7051 0.0000  4 Th 3.58, 6 Pr 3.59-3.74
5 Dy 0.0000 0.5000 0.5000  4 Dy 3.59-3.60, 8 Th 3.60
6 Dy 0.5000 0.0000 0.5000  4 Dy 3.59-3.60, 8 Th 3.60
7 Th 0.0000 0.0697 0.0000  8 Th 3.51-3.60, 4 Dy 3.60
8 Th 0.0000 0.3639 0.5000  8 Th 3.51-3.60, 4 Pr 3.58
9 Th 0.0000 0.6361 0.5000  8 Th 3.51-3.60, 4 Pr 3.58
10 Th 0.0000 0.9303 0.0000  8 Th 3.51-3.60, 4 Dy 3.60
11 Th 0.5000 0.1361 0.5000  8 Th 3.51-3.60, 4 Pr 3.58
12 Th 0.5000 0.4303 0.0000  8 Th 3.51-3.60, 4 Dy 3.60
13 Th 0.5000 0.5697 0.0000  8 Th 3.51-3.60, 4 Dy 3.60
14 Th 0.5000 0.8639 0.5000  8 Th 3.51-3.60, 4 Pr 3.58

---

Record 5
The following is a DFT calculation (PBE) of a geometry-optimized ZrTi2 structure.

Values from the calculation:
Space-group type: I4/mmm, No. 139
DOS at the Fermi energy, states/eV/atom: 1.510
V, A^3/atom: 19.3
ΔH_f (0 K), meV/atom: 77
Density, g/cm3: 5.37

Lattice parameters (Å, degrees): 2.9867 2.9867 12.9513 90.00 90.00 90.00
With the nearest neighbours (Å) after each atom.
Positions (direct):
1 Zr 0.0000 0.0000 0.0000  4 Zr 2.99, 8 Ti 3.11
2 Zr 0.5000 0.5000 0.5000  4 Zr 2.99, 8 Ti 3.11
3 Ti 0.0000 0.0000 0.3232  8 Ti 2.84-2.99, 4 Zr 3.11
4 Ti 0.0000 0.0000 0.6768  8 Ti 2.84-2.99, 4 Zr 3.11
5 Ti 0.5000 0.5000 0.1768  8 Ti 2.84-2.99, 4 Zr 3.11
6 Ti 0.5000 0.5000 0.8232  8 Ti 2.84-2.99, 4 Zr 3.11

---

Record 6
The following is a DFT calculation (PBE) of a geometry-optimized B5C3 structure.

Values from the calculation:
Relative energy among the computed polymorphs, meV/atom: 176
Space-group type: Amm2, No. 38
DOS at the Fermi energy, states/eV/atom: 0.232
V, A^3/atom: 7.2
ΔH_f (0 K), meV/atom: 446
Density, g/cm3: 2.60

Lattice parameters (Å, degrees): 2.5773 5.3590 8.3273 90.00 90.00 90.00
With the nearest neighbours (Å) after each atom.
Positions (direct):
1 B 0.0000 0.0000 0.0000  2 C 1.51
2 B 0.0000 0.2135 0.3536  1 C 1.61
3 B 0.0000 0.2865 0.8536  1 C 1.61
4 B 0.0000 0.5000 0.5000  2 C 1.51
5 B 0.0000 0.7135 0.8536  1 C 1.61
6 B 0.0000 0.7865 0.3536  1 C 1.61
7 B 0.5000 0.2469 0.7000  2 C 1.59-1.62
8 B 0.5000 0.2531 0.2000  2 C 1.59-1.62
9 B 0.5000 0.7469 0.2000  2 C 1.59-1.62
10 B 0.5000 0.7531 0.7000  2 C 1.59-1.62
11 C 0.0000 0.0000 0.4902  2 C 1.55, 2 B 1.61
12 C 0.0000 0.5000 0.9902  2 C 1.55, 2 B 1.61
13 C 0.5000 0.0000 0.0944  4 B 1.51-1.62
14 C 0.5000 0.0000 0.5937  2 C 1.55, 2 B 1.59
15 C 0.5000 0.5000 0.0937  2 C 1.55, 2 B 1.59
16 C 0.5000 0.5000 0.5944  4 B 1.51-1.62

---

Record 7
The following is a DFT calculation (PBE) of a geometry-optimized Co2As structure.

Values from the calculation:
Space-group type: I4_1/amd, No. 141
DOS at the Fermi energy, states/eV/atom: 0.705
V, A^3/atom: 12.9
ΔH_f (0 K), meV/atom: 249
Density, g/cm3: 8.30

Lattice parameters (Å, degrees): 2.8935 2.8935 18.4236 90.00 90.00 90.00
With the nearest neighbours (Å) after each atom.
Positions (direct):
1 Co 0.0000 0.2500 0.3040  4 As 2.43, 3 Co 2.46-2.62
2 Co 0.0000 0.2500 0.4460  4 As 2.43, 3 Co 2.46-2.62
3 Co 0.0000 0.7500 0.5540  4 As 2.43, 3 Co 2.46-2.62
4 Co 0.0000 0.7500 0.6960  4 As 2.43, 3 Co 2.46-2.62
5 Co 0.5000 0.2500 0.0540  4 As 2.43, 3 Co 2.46-2.62
6 Co 0.5000 0.2500 0.1960  4 As 2.43, 3 Co 2.46-2.62
7 Co 0.5000 0.7500 0.8040  4 As 2.43, 3 Co 2.46-2.62
8 Co 0.5000 0.7500 0.9460  4 As 2.43, 3 Co 2.46-2.62
9 As 0.0000 0.2500 0.8750  8 Co 2.43
10 As 0.0000 0.7500 0.1250  8 Co 2.43
11 As 0.5000 0.2500 0.6250  8 Co 2.43
12 As 0.5000 0.7500 0.3750  8 Co 2.43

---

Record 8
The following is a DFT calculation (PBE) of a geometry-optimized KLa2CoRh structure.

Values from the calculation:
Space-group type: P4/mmm, No. 123
DOS at the Fermi energy, states/eV/atom: 0.854
V, A^3/atom: 28.1
ΔH_f (0 K), meV/atom: 474
Density, g/cm3: 5.66

Lattice parameters (Å, degrees): 5.1581 5.1581 5.2791 90.00 90.00 90.00
With the nearest neighbours (Å) after each atom.
Positions (direct):
1 K 0.0000 0.0000 0.0000  2 Co 2.64
2 La 0.0000 0.5000 0.5000  2 Co 2.58
3 La 0.5000 0.0000 0.5000  2 Co 2.58
4 Co 0.0000 0.0000 0.5000  4 La 2.58, 2 K 2.64
5 Rh 0.5000 0.5000 0.0000  4 K 3.65, 8 La 3.69

---

Record 9
The following is a DFT calculation (PBE) of a geometry-optimized AcPrIn2Te4 structure.

Values from the calculation:
Space-group type: P2/m, No. 10
V, A^3/atom: 38.3
Formation energy from raw total energies, meV/atom: -1019.2
Density, g/cm3: 6.01

Lattice parameters (Å, degrees): 8.0900 4.6665 8.5467 90.00 108.30 90.00
With the nearest neighbours (Å) after each atom.
Positions (direct):
1 Ac 0.0000 0.0000 0.0000  6 Te 3.33
2 Pr 0.5000 0.5000 0.0000  6 Te 3.23-3.24
3 In 0.0000 0.5000 0.5000  6 Te 3.51-3.52
4 In 0.5000 0.0000 0.5000  6 Te 3.42-3.43
5 Te 0.2538 0.5000 0.2330  1 Pr 3.23, 2 Ac 3.33, 3 In 3.43-3.52
6 Te 0.2663 0.0000 0.7714  2 Pr 3.24, 1 Ac 3.33, 3 In 3.42-3.51
7 Te 0.7337 0.0000 0.2286  2 Pr 3.24, 1 Ac 3.33, 3 In 3.42-3.51
8 Te 0.7462 0.5000 0.7670  1 Pr 3.23, 2 Ac 3.33, 3 In 3.43-3.52

---

Record 10
The following is a DFT calculation (PBE) of a geometry-optimized RbHICl6 structure.

Values from the calculation:
Space-group type: P1, No. 1
DOS at the Fermi energy, states/eV/atom: 0.037
Uncorrected energy, eV/atom: -2.49
V, A^3/atom: 34.8
Density, g/cm3: 2.26

Lattice parameters (Å, degrees): 6.7025 7.1894 7.3154 81.66 72.20 68.99
With the nearest neighbours (Å) after each atom.
Positions (direct):
1 Rb 0.0000 0.0000 0.0000  8 Cl 3.40-3.80
2 H 0.5711 0.4939 0.3220  1 Cl 1.30
3 I 0.8868 0.6316 0.6280  4 Cl 2.46-2.52
4 Cl 0.0822 0.8844 0.5080  1 I 2.52
5 Cl 0.0886 0.5023 0.8806  1 I 2.50
6 Cl 0.5052 0.3553 0.2887  1 H 1.30
7 Cl 0.5538 0.9182 0.9015  1 I 2.90
8 Cl 0.6999 0.7458 0.3615  1 H 2.35, 1 I 2.52
9 Cl 0.7054 0.3758 0.7288  1 I 2.46

---

Record 11
The following is a DFT calculation (PBE) of a geometry-optimized CdReBr2 structure.

Values from the calculation:
Relative energy among the computed polymorphs, meV/atom: 880
Space-group type: Cmmm, No. 65
DOS at the Fermi energy, states/eV/atom: 0.922
V, A^3/atom: 20.3
Formation energy from raw total energies, meV/atom: 1135.5
Density, g/cm3: 9.39

Lattice parameters (Å, degrees): 6.2535 8.0041 3.2380 90.00 90.00 90.00
With the nearest neighbours (Å) after each atom.
Positions (direct):
1 Cd 0.0000 0.0000 0.0000  8 Br 3.01, 2 Re 3.13, 2 Cd 3.24
2 Cd 0.5000 0.5000 0.0000  8 Br 3.01, 2 Re 3.13, 2 Cd 3.24
3 Re 0.0000 0.5000 0.0000  8 Br 3.01, 2 Cd 3.13, 2 Re 3.24
4 Re 0.5000 0.0000 0.0000  8 Br 3.01, 2 Cd 3.13, 2 Re 3.24
5 Br 0.2500 0.2500 0.5000  4 Cd 3.01, 4 Re 3.01, 4 Br 3.13-3.24
6 Br 0.2500 0.7500 0.5000  4 Cd 3.01, 4 Re 3.01, 4 Br 3.13-3.24
7 Br 0.7500 0.2500 0.5000  4 Cd 3.01, 4 Re 3.01, 4 Br 3.13-3.24
8 Br 0.7500 0.7500 0.5000  4 Cd 3.01, 4 Re 3.01, 4 Br 3.13-3.24

---

Record 12
The following is a DFT calculation (PBE) of a geometry-optimized SmSi2Pt4 structure.

Values from the calculation:
Relative energy among the computed polymorphs, meV/atom: 0
Space-group type: Pnma, No. 62
DOS at the Fermi energy, states/eV/atom: 0.448
V, A^3/atom: 17.4
Formation energy from raw total energies, meV/atom: -882.7
Density, g/cm3: 13.47

Lattice parameters (Å, degrees): 18.8995 4.0545 6.3528 90.00 90.00 90.00
With the nearest neighbours (Å) after each atom.
Positions (direct):
1 Sm 0.1366 0.2500 0.0151  8 Pt 2.93-3.17, 3 Si 2.99-3.13
2 Sm 0.3634 0.7500 0.5151  8 Pt 2.93-3.17, 3 Si 2.99-3.13
3 Sm 0.6366 0.2500 0.4849  8 Pt 2.93-3.17, 3 Si 2.99-3.13
4 Sm 0.8634 0.7500 0.9849  8 Pt 2.93-3.17, 3 Si 2.99-3.13
5 Si 0.0418 0.7500 0.2619  5 Pt 2.38-2.64
6 Si 0.1986 0.2500 0.5828  6 Pt 2.38-2.52
7 Si 0.3014 0.7500 0.0828  6 Pt 2.38-2.52
8 Si 0.4582 0.2500 0.7619  5 Pt 2.38-2.64
9 Si 0.5418 0.7500 0.2381  5 Pt 2.38-2.64
10 Si 0.6986 0.2500 0.9172  6 Pt 2.38-2.52
11 Si 0.8014 0.7500 0.4172  6 Pt 2.38-2.52
12 Si 0.9582 0.2500 0.7381  5 Pt 2.38-2.64
13 Pt 0.0203 0.7500 0.8512  3 Si 2.45-2.64
14 Pt 0.0678 0.2500 0.5365  4 Si 2.44-2.72
15 Pt 0.1620 0.7500 0.3728  3 Si 2.38-2.52
16 Pt 0.2334 0.7500 0.7666  3 Si 2.38-2.43
17 Pt 0.2666 0.2500 0.2666  3 Si 2.38-2.43
18 Pt 0.3380 0.2500 0.8728  3 Si 2.38-2.52
19 Pt 0.4322 0.7500 0.0365  4 Si 2.44-2.72
20 Pt 0.4797 0.2500 0.3512  3 Si 2.45-2.64
21 Pt 0.5203 0.7500 0.6488  3 Si 2.45-2.64
22 Pt 0.5678 0.2500 0.9635  4 Si 2.44-2.72
23 Pt 0.6620 0.7500 0.1272  3 Si 2.38-2.52
24 Pt 0.7334 0.7500 0.7334  3 Si 2.38-2.43
25 Pt 0.7666 0.2500 0.2334  3 Si 2.38-2.43
26 Pt 0.8380 0.2500 0.6272  3 Si 2.38-2.52
27 Pt 0.9322 0.7500 0.4635  4 Si 2.44-2.72
28 Pt 0.9797 0.2500 0.1488  3 Si 2.45-2.64